1.
VASP calculation (PBE) on Dy2Y2Ni15 after structural relaxation.

Computed properties:
For the density of states at the Fermi level, the calculation gives 25.55 states/eV/cell. The value obtained for the total moment is 2.196 μB per cell. The space-group type is No. 166.

Lattice parameters (Å, degrees): 6.478 6.478 6.478 82.36 82.36 82.36
Atoms (fractional coordinates):
Dy 0.111 0.111 0.111
Dy 0.889 0.889 0.889
Y 0.361 0.361 0.361
Y 0.639 0.639 0.639
Ni 0.000 0.000 0.500
Ni 0.000 0.311 0.689
Ni 0.000 0.500 0.000
Ni 0.000 0.689 0.311
Ni 0.168 0.651 0.651
Ni 0.311 0.000 0.689
Ni 0.311 0.689 0.000
Ni 0.349 0.349 0.832
Ni 0.349 0.832 0.349
Ni 0.500 0.000 0.000
Ni 0.651 0.168 0.651
Ni 0.651 0.651 0.168
Ni 0.689 0.000 0.311
Ni 0.689 0.311 0.000
Ni 0.832 0.349 0.349

***

2.
VASP calculation (PBE) on Dy2YNi after structural relaxation.

Computed properties:
For the density of states at the Fermi level, the calculation gives 5.05 states/eV/cell. The value obtained for the total moment is 0.000 μB per cell. The space-group type is No. 160. Its distance to the lowest polymorph of the same formula is 0.146 eV/atom.

Lattice parameters (Å, degrees): 9.135 9.135 9.135 24.06 24.06 24.06
Atoms (fractional coordinates):
Dy 0.000 0.000 0.000
Dy 0.215 0.215 0.215
Y 0.443 0.443 0.443
Ni 0.607 0.607 0.607

***

3.
VASP calculation (PBE) on Dy2YNi after structural relaxation.

Computed properties:
For the density of states at the Fermi level, the calculation gives 17.59 states/eV/cell. The value obtained for the total moment is 0.000 μB per cell. The space-group type is No. 62. Its distance to the lowest polymorph of the same formula is 0.000 eV/atom.

Lattice parameters (Å, degrees): 6.862 9.612 6.311 90.00 90.00 90.00
Atoms (fractional coordinates):
Dy 0.179 0.066 0.177
Dy 0.179 0.434 0.177
Dy 0.321 0.566 0.677
Dy 0.321 0.934 0.677
Dy 0.679 0.066 0.323
Dy 0.679 0.434 0.323
Dy 0.821 0.566 0.823
Dy 0.821 0.934 0.823
Y 0.032 0.250 0.639
Y 0.468 0.750 0.139
Y 0.532 0.250 0.861
Y 0.968 0.750 0.361
Ni 0.109 0.750 0.940
Ni 0.391 0.250 0.440
Ni 0.609 0.750 0.560
Ni 0.891 0.250 0.060

***

4.
VASP calculation (PBE) on Dy3Y3Ni2 after structural relaxation.

Computed properties:
For the density of states at the Fermi level, the calculation gives 21.97 states/eV/cell. The value obtained for the total moment is 0.000 μB per cell. The space-group type is No. 63.

Lattice parameters (Å, degrees): 6.776 6.776 18.350 90.00 90.00 148.91
Atoms (fractional coordinates):
Dy 0.073 0.927 0.750
Dy 0.174 0.826 0.060
Dy 0.174 0.826 0.440
Dy 0.826 0.174 0.560
Dy 0.826 0.174 0.940
Dy 0.927 0.073 0.250
Y 0.203 0.797 0.250
Y 0.439 0.561 0.088
Y 0.439 0.561 0.412
Y 0.561 0.439 0.588
Y 0.561 0.439 0.912
Y 0.797 0.203 0.750
Ni 0.211 0.789 0.639
Ni 0.211 0.789 0.861
Ni 0.789 0.211 0.139
Ni 0.789 0.211 0.361

***

5.
VASP calculation (PBE) on Dy3Y2Ni2 after structural relaxation.

Computed properties:
For the density of states at the Fermi level, the calculation gives 10.01 states/eV/cell. The value obtained for the total moment is 0.000 μB per cell. The space-group type is No. 12.

Lattice parameters (Å, degrees): 6.321 6.321 8.947 115.41 115.41 33.42
Atoms (fractional coordinates):
Dy 0.000 0.000 0.000
Dy 0.116 0.116 0.434
Dy 0.884 0.884 0.566
Y 0.335 0.335 0.190
Y 0.665 0.665 0.810
Ni 0.329 0.329 0.762
Ni 0.671 0.671 0.238

***

6.
VASP calculation (PBE) on Dy2YNi after structural relaxation.

Computed properties:
For the density of states at the Fermi level, the calculation gives 10.92 states/eV/cell. The value obtained for the total moment is 0.000 μB per cell. The space-group type is No. 63. Its distance to the lowest polymorph of the same formula is 0.031 eV/atom.

Lattice parameters (Å, degrees): 6.241 6.241 9.499 90.00 90.00 145.84
Atoms (fractional coordinates):
Dy 0.137 0.863 0.569
Dy 0.137 0.863 0.931
Dy 0.863 0.137 0.069
Dy 0.863 0.137 0.431
Y 0.421 0.579 0.750
Y 0.579 0.421 0.250
Ni 0.266 0.734 0.250
Ni 0.734 0.266 0.750

***

7.
VASP calculation (PBE) on DyY6Ni3 after structural relaxation.

Computed properties:
For the density of states at the Fermi level, the calculation gives 19.89 states/eV/cell. The value obtained for the total moment is 0.000 μB per cell. The space-group type is No. 36.

Lattice parameters (Å, degrees): 8.550 8.550 7.083 90.00 90.00 99.93
Atoms (fractional coordinates):
Dy 0.179 0.821 0.500
Dy 0.821 0.179 0.000
Y 0.081 0.466 0.270
Y 0.130 0.204 0.622
Y 0.204 0.130 0.122
Y 0.275 0.725 0.959
Y 0.466 0.081 0.770
Y 0.467 0.533 0.609
Y 0.533 0.467 0.109
Y 0.534 0.919 0.270
Y 0.725 0.275 0.459
Y 0.796 0.870 0.622
Y 0.870 0.796 0.122
Y 0.919 0.534 0.770
Ni 0.084 0.916 0.829
Ni 0.199 0.411 0.904
Ni 0.411 0.199 0.404
Ni 0.589 0.801 0.904
Ni 0.801 0.589 0.404
Ni 0.916 0.084 0.329

***

8.
VASP calculation (PBE) on Dy6YNi3 after structural relaxation.

Computed properties:
For the density of states at the Fermi level, the calculation gives 20.08 states/eV/cell. The value obtained for the total moment is 0.000 μB per cell. The space-group type is No. 36.

Lattice parameters (Å, degrees): 8.499 8.499 7.045 90.00 90.00 99.47
Atoms (fractional coordinates):
Dy 0.032 0.968 0.500
Dy 0.035 0.419 0.654
Dy 0.227 0.773 0.846
Dy 0.296 0.370 0.007
Dy 0.370 0.296 0.507
Dy 0.419 0.035 0.154
Dy 0.581 0.965 0.654
Dy 0.630 0.704 0.007
Dy 0.704 0.630 0.507
Dy 0.773 0.227 0.346
Dy 0.965 0.581 0.154
Dy 0.968 0.032 0.000
Y 0.321 0.679 0.382
Y 0.679 0.321 0.882
Ni 0.088 0.301 0.290
Ni 0.301 0.088 0.790
Ni 0.418 0.582 0.716
Ni 0.582 0.418 0.216
Ni 0.699 0.912 0.290
Ni 0.912 0.699 0.790

***

9.
VASP calculation (PBE) on DyYNi2 after structural relaxation.

Computed properties:
For the density of states at the Fermi level, the calculation gives 2.50 states/eV/cell. The value obtained for the total moment is 0.000 μB per cell. The space-group type is No. 38. Its distance to the lowest polymorph of the same formula is 0.000 eV/atom.

Lattice parameters (Å, degrees): 4.183 5.443 5.443 40.49 90.00 90.00
Atoms (fractional coordinates):
Dy 0.000 0.000 0.000
Y 0.500 0.721 0.721
Ni 0.000 0.291 0.291
Ni 0.500 0.433 0.433

***

10.
VASP calculation (PBE) on Dy3YNi2 after structural relaxation.

Computed properties:
For the density of states at the Fermi level, the calculation gives 13.51 states/eV/cell. The value obtained for the total moment is 0.000 μB per cell. The space-group type is No. 12. Its distance to the lowest polymorph of the same formula is 0.000 eV/atom.

Lattice parameters (Å, degrees): 8.262 8.262 11.378 122.31 122.31 27.20
Atoms (fractional coordinates):
Dy 0.082 0.082 0.441
Dy 0.083 0.083 0.941
Dy 0.345 0.345 0.753
Dy 0.655 0.655 0.247
Dy 0.917 0.917 0.059
Dy 0.918 0.918 0.559
Y 0.347 0.347 0.255
Y 0.653 0.653 0.745
Ni 0.268 0.268 0.450
Ni 0.269 0.269 0.951
Ni 0.731 0.731 0.049
Ni 0.732 0.732 0.550

***

11.
VASP calculation (PBE) on Dy3Y4Ni4 after structural relaxation.

Computed properties:
For the density of states at the Fermi level, the calculation gives 12.02 states/eV/cell. The value obtained for the total moment is 0.000 μB per cell. The space-group type is No. 71.

Lattice parameters (Å, degrees): 9.000 9.000 9.000 155.70 119.67 66.02
Atoms (fractional coordinates):
Dy 0.000 0.000 0.000
Dy 0.389 0.889 0.500
Dy 0.611 0.111 0.500
Y 0.026 0.340 0.686
Y 0.345 0.660 0.686
Y 0.655 0.340 0.314
Y 0.974 0.660 0.314
Ni 0.240 0.240 0.000
Ni 0.353 0.500 0.853
Ni 0.647 0.500 0.147
Ni 0.760 0.760 0.000

***

12.
VASP calculation (PBE) on Dy12YNi6 after structural relaxation.

Computed properties:
For the density of states at the Fermi level, the calculation gives 23.93 states/eV/cell. The value obtained for the total moment is 0.000 μB per cell. The space-group type is No. 204.

Lattice parameters (Å, degrees): 8.522 8.522 8.522 109.47 109.47 109.47
Atoms (fractional coordinates):
Dy 0.127 0.311 0.816
Dy 0.184 0.496 0.311
Dy 0.184 0.873 0.689
Dy 0.311 0.184 0.496
Dy 0.311 0.816 0.127
Dy 0.496 0.311 0.184
Dy 0.504 0.689 0.816
Dy 0.689 0.184 0.873
Dy 0.689 0.816 0.504
Dy 0.816 0.127 0.311
Dy 0.816 0.504 0.689
Dy 0.873 0.689 0.184
Y 0.000 0.000 0.000
Ni 0.123 0.500 0.623
Ni 0.377 0.877 0.500
Ni 0.500 0.377 0.877
Ni 0.500 0.623 0.123
Ni 0.623 0.123 0.500
Ni 0.877 0.500 0.377

***

13.
VASP calculation (PBE) on Dy2YNi after structural relaxation.

Computed properties:
For the density of states at the Fermi level, the calculation gives 4.47 states/eV/cell. The value obtained for the total moment is 0.000 μB per cell. The space-group type is No. 166. Its distance to the lowest polymorph of the same formula is 0.163 eV/atom.

Lattice parameters (Å, degrees): 9.663 9.663 9.663 21.83 21.83 21.83
Atoms (fractional coordinates):
Dy 0.227 0.227 0.227
Dy 0.773 0.773 0.773
Y 0.000 0.000 0.000
Ni 0.500 0.500 0.500

***

14.
VASP calculation (PBE) on DyYZnNi after structural relaxation.

Computed properties:
For the density of states at the Fermi level, the calculation gives 3.51 states/eV/cell. The value obtained for the total moment is 0.000 μB per cell. The space-group type is No. 99. Its distance to the lowest polymorph of the same formula is 0.000 eV/atom.

Lattice parameters (Å, degrees): 3.471 3.471 6.981 90.00 90.00 90.00
Atoms (fractional coordinates):
Dy 0.000 0.000 0.000
Y 0.000 0.000 0.469
Zn 0.500 0.500 0.736
Ni 0.500 0.500 0.229

***

15.
VASP calculation (PBE) on DyYZnNi after structural relaxation.

Computed properties:
For the density of states at the Fermi level, the calculation gives 2.44 states/eV/cell. The value obtained for the total moment is 0.000 μB per cell. The space-group type is No. 216. Its distance to the lowest polymorph of the same formula is 0.026 eV/atom.

Lattice parameters (Å, degrees): 4.917 4.917 4.917 60.00 60.00 60.00
Atoms (fractional coordinates):
Dy 0.000 0.000 0.000
Y 0.500 0.500 0.500
Zn 0.750 0.750 0.750
Ni 0.250 0.250 0.250

***

16.
VASP calculation (PBE) on Dy7Zn2Ni2 after structural relaxation.

Computed properties:
For the density of states at the Fermi level, the calculation gives 11.79 states/eV/cell. The value obtained for the total moment is 0.000 μB per cell. The space-group type is No. 65.

Lattice parameters (Å, degrees): 6.637 6.637 6.899 90.00 90.00 110.39
Atoms (fractional coordinates):
Dy 0.000 0.000 0.000
Dy 0.000 0.500 0.255
Dy 0.000 0.500 0.745
Dy 0.500 0.000 0.255
Dy 0.500 0.000 0.745
Dy 0.500 0.500 0.248
Dy 0.500 0.500 0.752
Zn 0.167 0.167 0.500
Zn 0.833 0.833 0.500
Ni 0.297 0.703 0.000
Ni 0.703 0.297 0.000

***

17.
VASP calculation (PBE) on Dy12ZnNi6 after structural relaxation.

Computed properties:
For the density of states at the Fermi level, the calculation gives 21.24 states/eV/cell. The value obtained for the total moment is 0.000 μB per cell. The space-group type is No. 204. Its distance to the lowest polymorph of the same formula is 0.000 eV/atom.

Lattice parameters (Å, degrees): 8.349 8.349 8.349 109.47 109.47 109.47
Atoms (fractional coordinates):
Dy 0.115 0.814 0.301
Dy 0.186 0.301 0.487
Dy 0.186 0.699 0.885
Dy 0.301 0.115 0.814
Dy 0.301 0.487 0.186
Dy 0.487 0.186 0.301
Dy 0.513 0.814 0.699
Dy 0.699 0.513 0.814
Dy 0.699 0.885 0.186
Dy 0.814 0.301 0.115
Dy 0.814 0.699 0.513
Dy 0.885 0.186 0.699
Zn 0.000 0.000 0.000
Ni 0.124 0.624 0.500
Ni 0.376 0.500 0.876
Ni 0.500 0.124 0.624
Ni 0.500 0.876 0.376
Ni 0.624 0.500 0.124
Ni 0.876 0.376 0.500

***

18.
VASP calculation (PBE) on DyZn10Ni2 after structural relaxation.

Computed properties:
For the density of states at the Fermi level, the calculation gives 10.47 states/eV/cell. The value obtained for the total moment is 0.000 μB per cell. The space-group type is No. 63. Its distance to the lowest polymorph of the same formula is 0.000 eV/atom.

Lattice parameters (Å, degrees): 6.750 6.750 8.659 90.00 90.00 98.73
Atoms (fractional coordinates):
Dy 0.127 0.873 0.750
Dy 0.873 0.127 0.250
Zn 0.140 0.401 0.750
Zn 0.152 0.848 0.099
Zn 0.152 0.848 0.401
Zn 0.220 0.475 0.250
Zn 0.227 0.227 0.000
Zn 0.227 0.227 0.500
Zn 0.375 0.625 0.543
Zn 0.375 0.625 0.957
Zn 0.401 0.140 0.250
Zn 0.475 0.220 0.750
Zn 0.525 0.780 0.250
Zn 0.599 0.860 0.750
Zn 0.625 0.375 0.043
Zn 0.625 0.375 0.457
Zn 0.773 0.773 0.000
Zn 0.773 0.773 0.500
Zn 0.780 0.525 0.750
Zn 0.848 0.152 0.599
Zn 0.848 0.152 0.901
Zn 0.860 0.599 0.250
Ni 0.000 0.500 0.000
Ni 0.000 0.500 0.500
Ni 0.500 0.000 0.000
Ni 0.500 0.000 0.500

***

19.
VASP calculation (PBE) on Dy3Zn3Ni after structural relaxation.

Computed properties:
For the density of states at the Fermi level, the calculation gives 5.62 states/eV/cell. The value obtained for the total moment is 0.000 μB per cell. The space-group type is No. 44.

Lattice parameters (Å, degrees): 9.700 9.700 9.700 158.38 153.60 34.37
Atoms (fractional coordinates):
Dy 0.000 0.000 0.000
Dy 0.373 0.373 0.000
Dy 0.700 0.200 0.500
Zn 0.130 0.630 0.500
Zn 0.553 0.553 0.000
Zn 0.830 0.830 0.000
Ni 0.262 0.762 0.500

***

20.
VASP calculation (PBE) on DyZn9Ni2 after structural relaxation.

Computed properties:
For the density of states at the Fermi level, the calculation gives 4.76 states/eV/cell. The value obtained for the total moment is 0.000 μB per cell. The space-group type is No. 191. Its distance to the lowest polymorph of the same formula is 0.083 eV/atom.

Lattice parameters (Å, degrees): 8.461 8.461 2.975 90.00 90.00 120.00
Atoms (fractional coordinates):
Dy 0.000 0.000 0.000
Zn 0.000 0.500 0.000
Zn 0.189 0.378 0.500
Zn 0.189 0.811 0.500
Zn 0.378 0.189 0.500
Zn 0.500 0.000 0.000
Zn 0.500 0.500 0.000
Zn 0.622 0.811 0.500
Zn 0.811 0.189 0.500
Zn 0.811 0.622 0.500
Ni 0.333 0.667 0.000
Ni 0.667 0.333 0.000

***

| no. | energy of formation from the pure elements (eV per atom) | uncorrected energy (eV/atom) |
| --- | --- | --- |
| 1 | -0.23 | -5.961 |
| 2 | -0.10 | -5.463 |
| 3 | -0.25 | -5.609 |
| 4 | -0.15 | -5.746 |
| 5 | -0.25 | -5.725 |
| 6 | -0.22 | -5.579 |
| 7 | -0.22 | -6.294 |
| 8 | -0.23 | -5.373 |
| 9 | -0.45 | -6.103 |
| 10 | -0.29 | -5.598 |
| 11 | -0.21 | -5.923 |
| 12 | -0.24 | -5.312 |
| 13 | -0.08 | -5.446 |
| 14 | -0.37 | -4.902 |
| 15 | -0.35 | -4.876 |
| 16 | -0.15 | -4.357 |
| 17 | -0.32 | -5.116 |
| 18 | -0.25 | -2.474 |
| 19 | -0.35 | -3.699 |
| 20 | -0.17 | -2.473 |